Compound: Mg8Tl3Hg
Source: Alexandria via LeMat-Bulk
Functional: PBE
Structure: relaxed

Structure (CIF):
```
data_Mg8Tl3Hg
_cell_length_a 9.715
_cell_length_b 9.538
_cell_length_c 8.029
_cell_angle_alpha 90.00
_cell_angle_beta 123.07
_cell_angle_gamma 90.00
_space_group_name_H-M_alt 'C 1 m 1'
_space_group_IT_number 8
_space_group_name_Hall 'C -2y'
loop_
_atom_site_label
_atom_site_type_symbol
_atom_site_fract_x
_atom_site_fract_y
_atom_site_fract_z
Mg1 Mg 0.000 0.000 0.000
Mg2 Mg 0.018 0.208 0.472
Mg3 Mg 0.105 0.500 0.740
Mg4 Mg 0.241 0.230 0.001
Mg5 Mg 0.246 0.500 0.475
Mg6 Mg 0.479 0.000 0.019
Tl1 Tl 0.356 0.000 0.309
Tl2 Tl 0.373 0.239 0.729
Hg1 Hg 0.328 0.500 0.187
```

Summary:
Fermi-level density of states: 0.42 states/eV per atom
uncorrected energy: -1.674 eV/atom
distance to the lowest polymorph of the same formula: 0.00 eV per formula unit
formation energy: 0.01 eV per atom
total magnetization: 0.00 μB/atom

Compound: AuI2F
Source: Alexandria via LeMat-Bulk
Functional: PBE
Structure: relaxed

Structure (CIF):
```
data_AuI2F
_cell_length_a 7.870
_cell_length_b 7.870
_cell_length_c 6.411
_cell_angle_alpha 90.00
_cell_angle_beta 90.00
_cell_angle_gamma 90.00
_space_group_name_H-M_alt 'I -4 2 d'
_space_group_IT_number 122
_space_group_name_Hall 'I -4 2bw'
loop_
_atom_site_label
_atom_site_type_symbol
_atom_site_fract_x
_atom_site_fract_y
_atom_site_fract_z
Au1 Au 0.000 0.000 0.000
I1 I 0.227 0.750 0.125
F1 F 0.000 0.000 0.500
```

Summary:
Fermi-level density of states: 1.03 states/eV per atom
uncorrected energy: -2.189 eV/atom
energy relative to the elements, uncorrected: -0.507 eV per formula unit
distance to the lowest polymorph of the same formula: 0.86 eV per formula unit
total magnetization: 0.00 μB/atom

Compound: AcPrAl2
Source: Alexandria via LeMat-Bulk
Functional: PBE
Structure: relaxed

Structure (CIF):
```
data_AcPrAl2
_cell_length_a 6.539
_cell_length_b 7.390
_cell_length_c 9.540
_cell_angle_alpha 90.00
_cell_angle_beta 90.00
_cell_angle_gamma 90.00
_space_group_name_H-M_alt 'P n m a'
_space_group_IT_number 62
_space_group_name_Hall '-P 2ac 2n'
loop_
_atom_site_label
_atom_site_type_symbol
_atom_site_fract_x
_atom_site_fract_y
_atom_site_fract_z
Ac1 Ac 0.003 0.250 0.207
Pr1 Pr 0.184 0.250 0.861
Al1 Al 0.172 0.073 0.555
```

Summary:
Fermi-level density of states: 0.75 states/eV per atom
uncorrected energy: -4.341 eV/atom
formation energy: -0.25 eV per atom
total magnetization: 0.00 μB/atom

Compound: CsUSb2S8
Source: Alexandria via LeMat-Bulk
Functional: PBE
Structure: relaxed

Structure (CIF):
```
data_CsUSb2S8
_cell_length_a 7.4840
_cell_length_b 7.4840
_cell_length_c 9.7270
_cell_angle_alpha 90.00
_cell_angle_beta 90.00
_cell_angle_gamma 120.00
_space_group_name_H-M_alt 'P -3 m 1'
_space_group_IT_number 164
_space_group_name_Hall '-P 3 2"'
loop_
_atom_site_label
_atom_site_type_symbol
_atom_site_fract_x
_atom_site_fract_y
_atom_site_fract_z
Cs1 Cs 0.0000 0.0000 0.0000
U1 U 0.0000 0.0000 0.5000
Sb1 Sb 0.3333 0.6667 0.2599
S1 S 0.1528 0.3056 0.3340
S2 S 0.3333 0.6667 0.0272
```

Summary:
Fermi-level density of states: 0.19 states/eV per atom
uncorrected energy: -4.843 eV/atom
energy relative to the elements, uncorrected: -4.712 eV per formula unit
total magnetization: 0.07 μB/atom

Compound: DyHoPa2Sb4
Source: Alexandria via LeMat-Bulk
Functional: PBE
Structure: relaxed

Structure (CIF):
```
data_DyHoPa2Sb4
_cell_length_a 7.555
_cell_length_b 4.364
_cell_length_c 7.612
_cell_angle_alpha 90.00
_cell_angle_beta 109.36
_cell_angle_gamma 90.00
_space_group_name_H-M_alt 'P 1 2/m 1'
_space_group_IT_number 10
_space_group_name_Hall '-P 2y'
loop_
_atom_site_label
_atom_site_type_symbol
_atom_site_fract_x
_atom_site_fract_y
_atom_site_fract_z
Dy1 Dy 0.000 0.000 0.000
Ho1 Ho 0.500 0.500 0.000
Pa1 Pa 0.000 0.500 0.500
Pa2 Pa 0.500 0.000 0.500
Sb1 Sb 0.250 0.500 0.248
Sb2 Sb 0.251 0.000 0.753
```

Summary:
Fermi-level density of states: 1.54 states/eV per atom
uncorrected energy: -6.347 eV/atom
energy relative to the elements, uncorrected: -6.112 eV per formula unit
total magnetization: 0.26 μB/atom

Compound: Pr3SmDy7
Source: Alexandria via LeMat-Bulk
Functional: PBE
Structure: relaxed

Structure (CIF):
```
data_Pr3SmDy7
_cell_length_a 7.1068
_cell_length_b 7.1068
_cell_length_c 8.7522
_cell_angle_alpha 90.00
_cell_angle_beta 90.00
_cell_angle_gamma 120.00
_space_group_name_H-M_alt 'P 3 m 1'
_space_group_IT_number 156
_space_group_name_Hall 'P 3 -2"'
loop_
_atom_site_label
_atom_site_type_symbol
_atom_site_fract_x
_atom_site_fract_y
_atom_site_fract_z
Pr1 Pr 0.9996 0.4998 0.0000
Sm1 Sm 0.3333 0.6667 0.6594
Dy1 Dy 0.1672 0.3345 0.3370
Dy2 Dy 0.3349 0.1674 0.6608
Dy3 Dy 0.6667 0.3333 0.3397
```

Summary:
Fermi-level density of states: 1.54 states/eV per atom
uncorrected energy: -4.488 eV/atom
distance to the lowest polymorph of the same formula: 0.32 eV per formula unit
formation energy: 0.17 eV per atom
total magnetization: 0.00 μB/atom

Compound: SbRhF2
Source: Alexandria via LeMat-Bulk
Functional: PBE
Structure: relaxed

Structure (CIF):
```
data_SbRhF2
_cell_length_a 6.124
_cell_length_b 6.124
_cell_length_c 6.124
_cell_angle_alpha 90.00
_cell_angle_beta 90.00
_cell_angle_gamma 90.00
_space_group_name_H-M_alt 'F m -3 m'
_space_group_IT_number 225
_space_group_name_Hall '-F 4 2 3'
loop_
_atom_site_label
_atom_site_type_symbol
_atom_site_fract_x
_atom_site_fract_y
_atom_site_fract_z
Sb1 Sb 0.000 0.000 0.000
Rh1 Rh 0.000 0.000 0.500
F1 F 0.250 0.250 0.250
```

Summary:
Fermi-level density of states: 0.78 states/eV per atom
uncorrected energy: -4.294 eV/atom
energy relative to the elements, uncorrected: -1.958 eV per formula unit
distance to the lowest polymorph of the same formula: 2.07 eV per formula unit
total magnetization: 0.02 μB/atom

Compound: Tl4IBr3
Source: Alexandria via LeMat-Bulk
Functional: PBE
Structure: relaxed

Structure (CIF):
```
data_Tl4IBr3
_cell_length_a 13.683
_cell_length_b 9.667
_cell_length_c 4.843
_cell_angle_alpha 90.00
_cell_angle_beta 90.07
_cell_angle_gamma 90.00
_space_group_name_H-M_alt 'C 1 2/m 1'
_space_group_IT_number 12
_space_group_name_Hall '-C 2y'
loop_
_atom_site_label
_atom_site_type_symbol
_atom_site_fract_x
_atom_site_fract_y
_atom_site_fract_z
Tl1 Tl 0.000 0.239 0.000
Tl2 Tl 0.245 0.000 0.500
I1 I 0.000 0.500 0.500
Br1 Br 0.000 0.000 0.500
Br2 Br 0.250 0.250 0.000
```

Summary:
Fermi-level density of states: 0.00 states/eV per atom
uncorrected energy: -2.813 eV/atom
energy relative to the elements, uncorrected: -6.471 eV per formula unit
distance to the lowest polymorph of the same formula: 0.00 eV per formula unit
total magnetization: 0.00 μB/atom

Compound: Pr2Sm3Tm2
Source: Alexandria via LeMat-Bulk
Functional: PBE
Structure: relaxed

Structure (CIF):
```
data_Pr2Sm3Tm2
_cell_length_a 3.571
_cell_length_b 5.786
_cell_length_c 22.996
_cell_angle_alpha 90.00
_cell_angle_beta 90.00
_cell_angle_gamma 90.00
_space_group_name_H-M_alt 'I m m m'
_space_group_IT_number 71
_space_group_name_Hall '-I 2 2'
loop_
_atom_site_label
_atom_site_type_symbol
_atom_site_fract_x
_atom_site_fract_y
_atom_site_fract_z
Pr1 Pr 0.000 0.000 0.085
Sm1 Sm 0.000 0.500 0.000
Sm2 Sm 0.000 0.500 0.274
Tm1 Tm 0.000 0.000 0.363
```

Summary:
Fermi-level density of states: 1.64 states/eV per atom
uncorrected energy: -4.577 eV/atom
distance to the lowest polymorph of the same formula: 0.00 eV per formula unit
formation energy: 0.09 eV per atom
total magnetization: 0.00 μB/atom

Compound: BaRh3Se
Source: Alexandria via LeMat-Bulk
Functional: PBE
Structure: relaxed

Structure (CIF):
```
data_BaRh3Se
_cell_length_a 4.757
_cell_length_b 4.757
_cell_length_c 4.757
_cell_angle_alpha 90.00
_cell_angle_beta 90.00
_cell_angle_gamma 90.00
_space_group_name_H-M_alt 'P m -3 m'
_space_group_IT_number 221
_space_group_name_Hall '-P 4 2 3'
loop_
_atom_site_label
_atom_site_type_symbol
_atom_site_fract_x
_atom_site_fract_y
_atom_site_fract_z
Ba1 Ba 0.000 0.000 0.000
Rh1 Rh 0.000 0.500 0.500
Se1 Se 0.500 0.500 0.500
```

Summary:
Fermi-level density of states: 1.02 states/eV per atom
uncorrected energy: -5.556 eV/atom
energy relative to the elements, uncorrected: -0.320 eV per formula unit
distance to the lowest polymorph of the same formula: 0.00 eV per formula unit
total magnetization: 0.00 μB/atom

Compound: Tl2Sn2Hg3
Source: Alexandria via LeMat-Bulk
Functional: PBE
Structure: relaxed

Structure (CIF):
```
data_Tl2Sn2Hg3
_cell_length_a 5.285
_cell_length_b 22.645
_cell_length_c 3.350
_cell_angle_alpha 90.00
_cell_angle_beta 90.00
_cell_angle_gamma 90.00
_space_group_name_H-M_alt 'C m m m'
_space_group_IT_number 65
_space_group_name_Hall '-C 2 2'
loop_
_atom_site_label
_atom_site_type_symbol
_atom_site_fract_x
_atom_site_fract_y
_atom_site_fract_z
Tl1 Tl 0.000 0.146 0.000
Sn1 Sn 0.000 0.288 0.500
Hg1 Hg 0.000 0.000 0.000
Hg2 Hg 0.000 0.432 0.500
```

Summary:
Fermi-level density of states: 0.49 states/eV per atom
uncorrected energy: -1.930 eV/atom
distance to the lowest polymorph of the same formula: 0.00 eV per formula unit
formation energy: 0.02 eV per atom
total magnetization: 0.00 μB/atom